# Cd2AsH2 PBE-GGA relaxed
data_Cd2AsH2
_chemical_formula_sum 'Cd4 As2 H4'
_symmetry_space_group_name_H-M 'I 4/m m m'
_symmetry_Int_Tables_number 139
_symmetry_space_group_name_Hall '-I 4 2'
_cell_length_a 4.987
_cell_length_b 4.987
_cell_length_c 6.437
_cell_angle_alpha 90.00
_cell_angle_beta 90.00
_cell_angle_gamma 90.00
loop_
_atom_site_label
_atom_site_type_symbol
_atom_site_fract_x
_atom_site_fract_y
_atom_site_fract_z
Cd1 Cd 0.000 0.500 0.250
As1 As 0.000 0.000 0.000
H1 H 0.000 0.000 0.440
# * energy: -25.503 eV for the cell shown
# * volume: 160.10 Å³ per cell
# * magnetic moment: 0.00 μB/cell
# * crystal system: tetragonal